# 1
## LiCaW2 (PBE-GGA)

Data for an optimized crystal structure of LiCaW2.

Structure (POSCAR):
```
LiCaW2
1.0
1.6418 -2.3871 0.0000
1.6418 2.3871 0.0000
0.0000 0.0000 9.8925
Li Ca W
1 1 2
direct
0.0000 0.0000 0.0000 Li
0.5000 0.5000 0.7023 Ca
0.0000 0.0000 0.4371 W
0.5000 0.5000 0.2333 W
```

## Properties
Spin magnetization = 0.00 μB/cell
Volume = 19.4 A^3/atom
Calculated formation energy = 55.6 kJ per mole of atoms
Relative energy among the computed polymorphs = 59 meV per atom

***

# 2
## BeAlAg2 (PBE-GGA)

Data for an optimized crystal structure of BeAlAg2.

Structure (POSCAR):
```
BeAlAg2
1.0
2.8486 0.0000 0.0000
0.0000 4.1482 0.0000
-1.3146 0.0000 5.0955
Be Al Ag
1 1 2
direct
0.0000 0.0000 0.0000 Be
0.8556 0.5000 0.7204 Al
0.2555 0.0000 0.5151 Ag
0.5781 0.5000 0.1739 Ag
```

## Properties
Spin magnetization = 0.00 μB/cell
Volume = 15.1 A^3/atom
Calculated formation energy = 11.6 kJ per mole of atoms
Relative energy among the computed polymorphs = 55 meV per atom

***

# 3
## TbUFe3 (PBE-GGA)

Data for an optimized crystal structure of TbUFe3.

Structure (POSCAR):
```
TbUFe3
1.0
2.9426 -5.2590 0.0000
2.9426 5.2590 0.0000
0.0000 0.0000 5.4047
Tb U Fe
2 2 6
direct
0.0816 0.9184 0.7500 Tb
0.9184 0.0816 0.2500 Tb
0.2763 0.7237 0.2500 U
0.7237 0.2763 0.7500 U
0.1340 0.4456 0.7500 Fe
0.4456 0.1340 0.2500 Fe
0.5000 0.5000 0.0000 Fe
0.5000 0.5000 0.5000 Fe
0.5544 0.8660 0.7500 Fe
0.8660 0.5544 0.2500 Fe
```

## Properties
Spin magnetization = 2.44 μB/cell
Volume = 16.7 A^3/atom
Calculated formation energy = -4.9 kJ per mole of atoms
Relative energy among the computed polymorphs = 0 meV per atom

***

# 4
## PmEuAlIn (PBE-GGA)

Data for an optimized crystal structure of PmEuAlIn.

Structure (POSCAR):
```
PmEuAlIn
1.0
0.0000 3.8210 3.8210
3.8210 0.0000 3.8210
3.8210 3.8210 0.0000
Pm Eu Al In
1 1 1 1
direct
0.0000 0.0000 0.0000 Pm
0.5000 0.5000 0.5000 Eu
0.2500 0.2500 0.2500 Al
0.7500 0.7500 0.7500 In
```

## Properties
Spin magnetization = 7.23 μB/cell
Volume = 27.9 A^3/atom
Calculated formation energy = -33.7 kJ per mole of atoms

***

# 5
## LiHOs2 (PBE-GGA)

Data for an optimized crystal structure of LiHOs2.

Structure (POSCAR):
```
LiHOs2
1.0
-2.5382 2.5382 4.4297
2.5382 -2.5382 4.4297
2.5382 2.5382 -4.4297
Li H Os
2 2 4
direct
0.3750 0.6250 0.7500 Li
0.6250 0.3750 0.2500 Li
0.1250 0.8750 0.2500 H
0.8750 0.1250 0.7500 H
0.0000 0.0000 0.0000 Os
0.0000 0.0000 0.5000 Os
0.0000 0.5000 0.0000 Os
0.5000 0.0000 0.5000 Os
```

## Properties
Spin magnetization = 0.00 μB/cell
Volume = 14.3 A^3/atom
Relative energy among the computed polymorphs = 0 meV per atom

***

# 6
## Nd3Hg (PBE-GGA)

Data for an optimized crystal structure of Nd3Hg.

Structure (POSCAR):
```
Nd3Hg
1.0
4.9522 0.0000 0.0000
0.0000 4.9522 0.0000
0.0000 0.0000 4.9522
Nd Hg
3 1
direct
0.0000 0.0000 0.5000 Nd
0.0000 0.5000 0.0000 Nd
0.5000 0.0000 0.0000 Nd
0.5000 0.5000 0.5000 Hg
```

## Properties
Spin magnetization = 0.00 μB/cell
Volume = 30.4 A^3/atom
Calculated formation energy = -16.7 kJ per mole of atoms
Relative energy among the computed polymorphs = 57 meV per atom

***

# 7
## TiAl2S (PBE-GGA)

Data for an optimized crystal structure of TiAl2S.

Structure (POSCAR):
```
TiAl2S
1.0
-3.6536 3.6536 2.5341
3.6536 -3.6536 2.5341
3.6536 3.6536 -2.5341
Ti Al S
2 4 2
direct
0.0000 0.0000 0.0000 Ti
0.7500 0.2500 0.5000 Ti
0.1643 0.1250 0.5393 Al
0.3750 0.8357 0.9607 Al
0.5857 0.6250 0.4607 Al
0.8750 0.4143 0.0393 Al
0.2500 0.7500 0.5000 S
0.5000 0.5000 0.0000 S
```

## Properties
Uncorrected formation energy = -108.3 meV per atom
Spin magnetization = 0.00 μB/cell
Volume = 16.9 A^3/atom

***

# 8
## ScCuPd3 (PBE-GGA)

Data for an optimized crystal structure of ScCuPd3.

Structure (POSCAR):
```
ScCuPd3
1.0
4.7271 0.0000 0.0000
0.0000 4.7271 0.0000
0.0000 0.0000 4.7271
Sc Cu Pd
1 1 3
direct
0.0000 0.0000 0.0000 Sc
0.5000 0.5000 0.5000 Cu
0.0000 0.0000 0.5000 Pd
0.0000 0.5000 0.0000 Pd
0.5000 0.0000 0.0000 Pd
```

## Properties
Spin magnetization = 0.00 μB/cell
Volume = 21.1 A^3/atom
Calculated formation energy = 54.0 kJ per mole of atoms
Relative energy among the computed polymorphs = 1137 meV per atom